A plane-wave DFT calculation with GGA-PBE was carried out for a geometry-optimized La4InSbH structure.

a = 6.726 Å, b = 18.102 Å, c = 6.681 Å
α = 90.00°, β = 90.00°, γ = 90.00°
Space group Cmcm (No. 63)
One atom of each set of equivalent atoms:
La 0.000 0.069 0.250
La 0.000 0.428 0.250
La 0.250 0.250 0.000
In 0.000 0.114 0.750
Sb 0.000 0.386 0.750
H 0.000 0.206 0.250

Results
E   -4.93 eV per atom